14
Lattice="-3.495 5.876 6.174 3.495 -5.876 6.174 3.495 5.876 -6.174" Properties=species:S:1:pos:R:3 comment="La4NdSm2 PBE-GGA relaxed" polymorph_energy_mev_per_atom=40 delta_e_f_mev_per_atom=201 magmom_total_mub_per_cell=0.00 sg="No. 74" pbc="T T T"
La 0.000 0.004 1.817
La 1.529 2.938 0.075
La 1.966 -2.938 6.249
La 3.495 0.004 4.358
La 0.000 5.871 1.817
La 1.529 8.813 -0.075
La 1.966 2.938 6.099
La 3.495 5.871 4.358
Nd 1.748 2.938 -3.087
Nd 1.748 -2.938 3.087
Sm 3.495 0.000 0.000
Sm 3.495 2.938 2.700
Sm 0.000 0.000 6.174
Sm 0.000 2.938 3.475


5
Lattice="5.346 0.000 0.000 0.000 5.346 0.000 0.000 0.000 5.346" Properties=species:S:1:pos:R:3 comment="TaBi3Cl PBE-GGA relaxed" polymorph_energy_mev_per_atom=1002 magmom_total_mub_per_cell=1.86 raw_formation_energy_ev_per_fu=6.2 sg="No. 221" pbc="T T T"
Ta 0.000 0.000 0.000
Bi 0.000 2.673 2.673
Bi 2.673 0.000 2.673
Bi 2.673 2.673 0.000
Cl 2.673 2.673 2.673


9
Lattice="5.560 -2.453 0.000 5.560 2.453 0.000 -4.460 0.000 8.129" Properties=species:S:1:pos:R:3 comment="Nd3In2Ag4 PBE-GGA relaxed" delta_e_f_mev_per_atom=-348 magmom_total_mub_per_cell=0.00 sg="No. 12" pbc="T T T"
Nd 0.000 0.000 0.000
Nd 2.335 0.000 2.632
Nd 4.324 0.000 5.497
In 1.014 0.000 5.757
In 5.645 0.000 2.372
Ag -1.019 0.000 3.297
Ag -1.085 0.000 7.709
Ag 7.743 0.000 0.420
Ag 7.678 0.000 4.832


8
Lattice="-3.992 3.992 3.553 3.992 -3.992 3.553 3.992 3.992 -3.553" Properties=species:S:1:pos:R:3 comment="LiLa2B PBE-GGA relaxed" delta_e_f_mev_per_atom=363 magmom_total_mub_per_cell=0.00 sg="No. 122" pbc="T T T"
Li 0.000 0.000 0.000
Li 0.000 3.992 1.776
La 1.996 -1.378 2.664
La 2.615 1.996 0.888
La 1.996 5.370 -0.888
La 1.378 1.996 4.441
B 3.992 0.000 1.776
B 0.000 0.000 3.553


8
Lattice="2.653 1.532 8.874 -2.653 1.532 8.874 0.000 -3.063 8.874" Properties=species:S:1:pos:R:3 comment="Ce2HoHg4Pb PBE-GGA relaxed" delta_e_f_mev_per_atom=-357 magmom_total_mub_per_cell=2.14 sg="No. 166" pbc="T T T"
Ce 0.000 0.000 6.427
Ce 0.000 0.000 20.195
Ho 0.000 0.000 0.000
Hg 0.000 0.000 3.131
Hg 0.000 0.000 9.748
Hg 0.000 0.000 16.875
Hg 0.000 0.000 23.491
Pb 0.000 0.000 13.311


5
Lattice="5.268 0.000 0.000 0.000 5.268 0.000 0.000 0.000 5.268" Properties=species:S:1:pos:R:3 comment="ZrTcPb3 PBE-GGA relaxed" polymorph_energy_mev_per_atom=0 delta_e_f_mev_per_atom=892 magmom_total_mub_per_cell=0.00 sg="No. 221" pbc="T T T"
Zr 0.000 0.000 0.000
Tc 2.634 2.634 2.634
Pb 0.000 2.634 2.634
Pb 2.634 0.000 2.634
Pb 2.634 2.634 0.000


6
Lattice="6.314 -3.004 0.000 6.314 3.004 0.000 -1.837 0.000 5.297" Properties=species:S:1:pos:R:3 comment="AcThRe PBE-GGA relaxed" delta_e_f_mev_per_atom=304 magmom_total_mub_per_cell=0.00 sg="No. 12" pbc="T T T"
Ac 0.961 0.000 2.214
Ac 9.829 0.000 3.082
Th 4.586 0.000 0.407
Th 6.205 0.000 4.890
Re 4.071 0.000 3.215
Re 6.720 0.000 2.081


18
Lattice="6.977 0.000 0.000 -3.489 6.042 0.000 0.000 0.000 14.675" Properties=species:S:1:pos:R:3 comment="ScMnTlBr6 PBE-GGA relaxed" magmom_total_mub_per_cell=10.00 raw_formation_energy_ev_per_fu=-11.0 sg="No. 163" pbc="T T T"
Sc 0.000 4.028 3.669
Sc 3.489 2.014 11.006
Mn 0.000 4.028 11.006
Mn 3.489 2.014 3.669
Tl 0.000 0.000 0.000
Tl 0.000 0.000 7.338
Br -1.289 2.263 2.129
Br -2.173 3.794 5.209
Br 1.289 2.263 5.209
Br -0.884 6.027 2.129
Br 2.605 0.015 9.466
Br 1.315 2.248 12.546
Br 2.173 3.794 2.129
Br 0.884 6.027 5.209
Br 4.372 0.015 12.546
Br 2.199 3.779 9.466
Br 5.662 2.248 9.466
Br 4.778 3.779 12.546


4
Lattice="2.786 0.000 0.000 0.000 2.786 0.000 0.000 0.000 8.119" Properties=species:S:1:pos:R:3 comment="Mo2RuAu PBE-GGA relaxed" polymorph_energy_mev_per_atom=27 delta_e_f_mev_per_atom=117 magmom_total_mub_per_cell=0.00 sg="No. 123" pbc="T T T"
Mo 0.000 0.000 1.861
Mo 0.000 0.000 6.258
Ru 1.393 1.393 0.000
Au 1.393 1.393 4.060


3
Lattice="3.427 0.000 0.000 -1.714 2.968 0.000 0.000 0.000 6.924" Properties=species:S:1:pos:R:3 comment="YRePb PBE-GGA relaxed" polymorph_energy_mev_per_atom=234 delta_e_f_mev_per_atom=537 magmom_total_mub_per_cell=0.00 sg="No. 156" pbc="T T T"
Y 0.000 0.000 0.000
Re 0.000 1.979 4.824
Pb 1.714 0.989 2.744


5
Lattice="3.765 0.000 0.000 0.000 3.765 0.000 0.000 0.000 3.670" Properties=species:S:1:pos:R:3 comment="B2OsRuN PBE-GGA relaxed" magmom_total_mub_per_cell=0.00 raw_formation_energy_ev_per_fu=7.4 sg="No. 123" pbc="T T T"
B 0.000 1.882 0.000
B 1.882 0.000 0.000
Os 0.000 0.000 1.835
Ru 1.882 1.882 1.835
N 1.882 1.882 0.000


12
Lattice="12.011 0.000 0.000 0.000 4.220 0.000 0.000 0.000 7.926" Properties=species:S:1:pos:R:3 comment="MoI PBE-GGA relaxed" polymorph_energy_mev_per_atom=257 magmom_total_mub_per_cell=0.00 raw_formation_energy_ev_per_fu=1.0 sg="No. 31" pbc="T T T"
Mo 0.000 0.562 0.000
Mo 1.324 2.512 7.921
Mo 4.682 1.709 3.958
Mo 6.005 3.658 3.963
Mo 7.329 1.709 3.958
Mo 10.687 2.512 7.921
I 0.000 3.510 2.380
I 2.272 2.398 5.364
I 3.733 1.822 1.401
I 6.005 0.710 6.342
I 8.277 1.822 1.401
I 9.739 2.398 5.364